1.
# Cd2FeRh PBE relaxed
data_Cd2FeRh
_symmetry_space_group_name_H-M 'I m m 2'
_symmetry_Int_Tables_number 44
_symmetry_space_group_name_Hall 'I 2 -2'
_cell_length_a 3.079
_cell_length_b 4.701
_cell_length_c 9.355
_cell_angle_alpha 90.00
_cell_angle_beta 90.00
_cell_angle_gamma 90.00
loop_
_atom_site_label
_atom_site_type_symbol
_atom_site_fract_x
_atom_site_fract_y
_atom_site_fract_z
_atom_site_occupancy
Cd1 Cd 0.000 0.000 0.000 1
Cd2 Cd 0.000 0.500 0.224 1
Fe1 Fe 0.000 0.500 0.755 1
Rh1 Rh 0.000 0.000 0.463 1
# - Total magnetization: 6.67 μB/cell
# - Formation enthalpy at 0 K: 0.108 eV per atom

2.
# CdFeRh2 PBE relaxed
data_CdFeRh2
_symmetry_space_group_name_H-M 'F -4 3 m'
_symmetry_Int_Tables_number 216
_symmetry_space_group_name_Hall 'F -4 2 3'
_cell_length_a 6.266
_cell_length_b 6.266
_cell_length_c 6.266
_cell_angle_alpha 90.00
_cell_angle_beta 90.00
_cell_angle_gamma 90.00
loop_
_atom_site_label
_atom_site_type_symbol
_atom_site_fract_x
_atom_site_fract_y
_atom_site_fract_z
_atom_site_occupancy
Cd1 Cd 0.000 0.000 0.000 1
Fe1 Fe 0.250 0.250 0.750 1
Rh1 Rh 0.000 0.000 0.500 1
Rh2 Rh 0.250 0.250 0.250 1
# - Total magnetization: 17.75 μB/cell
# - Formation enthalpy at 0 K: 0.223 eV per atom

3.
# CdFeSi2Rh PBE relaxed
data_CdFeSi2Rh
_symmetry_space_group_name_H-M 'P 4/m m m'
_symmetry_Int_Tables_number 123
_symmetry_space_group_name_Hall '-P 4 2'
_cell_length_a 4.499
_cell_length_b 4.499
_cell_length_c 5.205
_cell_angle_alpha 90.00
_cell_angle_beta 90.00
_cell_angle_gamma 90.00
loop_
_atom_site_label
_atom_site_type_symbol
_atom_site_fract_x
_atom_site_fract_y
_atom_site_fract_z
_atom_site_occupancy
Cd1 Cd 0.000 0.000 0.000 1
Fe1 Fe 0.500 0.500 0.000 1
Si1 Si 0.000 0.500 0.500 1
Rh1 Rh 0.000 0.000 0.500 1
# - Raw formation energy: 0.65 eV/atom
# - Total magnetization: 2.94 μB/cell

4.
# Cd2FeSiRh PBE relaxed
data_Cd2FeSiRh
_symmetry_space_group_name_H-M 'P 4/m m m'
_symmetry_Int_Tables_number 123
_symmetry_space_group_name_Hall '-P 4 2'
_cell_length_a 4.941
_cell_length_b 4.941
_cell_length_c 4.389
_cell_angle_alpha 90.00
_cell_angle_beta 90.00
_cell_angle_gamma 90.00
loop_
_atom_site_label
_atom_site_type_symbol
_atom_site_fract_x
_atom_site_fract_y
_atom_site_fract_z
_atom_site_occupancy
Cd1 Cd 0.000 0.500 0.000 1
Fe1 Fe 0.000 0.000 0.000 1
Si1 Si 0.500 0.500 0.500 1
Rh1 Rh 0.000 0.000 0.500 1
# - Raw formation energy: 0.99 eV/atom
# - Total magnetization: 1.63 μB/cell

5.
# TaCdFe2Rh PBE relaxed
data_TaCdFe2Rh
_symmetry_space_group_name_H-M 'P 4/m m m'
_symmetry_Int_Tables_number 123
_symmetry_space_group_name_Hall '-P 4 2'
_cell_length_a 4.410
_cell_length_b 4.410
_cell_length_c 5.230
_cell_angle_alpha 90.00
_cell_angle_beta 90.00
_cell_angle_gamma 90.00
loop_
_atom_site_label
_atom_site_type_symbol
_atom_site_fract_x
_atom_site_fract_y
_atom_site_fract_z
_atom_site_occupancy
Ta1 Ta 0.000 0.000 0.000 1
Cd1 Cd 0.000 0.000 0.500 1
Fe1 Fe 0.000 0.500 0.000 1
Rh1 Rh 0.500 0.500 0.500 1
# - Total magnetization: 3.26 μB/cell
# - Formation enthalpy at 0 K: 1.610 eV per atom

6.
# CdFe2Ru PBE relaxed
data_CdFe2Ru
_symmetry_space_group_name_H-M 'R -3 m'
_symmetry_Int_Tables_number 166
_symmetry_space_group_name_Hall '-R 3 2"'
_cell_length_a 2.7390
_cell_length_b 2.7390
_cell_length_c 26.9642
_cell_angle_alpha 90.00
_cell_angle_beta 90.00
_cell_angle_gamma 120.00
loop_
_atom_site_label
_atom_site_type_symbol
_atom_site_fract_x
_atom_site_fract_y
_atom_site_fract_z
_atom_site_occupancy
Cd1 Cd 0.0000 0.0000 0.0000 1
Fe1 Fe 0.0000 0.0000 0.2439 1
Ru1 Ru 0.0000 0.0000 0.5000 1
# - Total magnetization: 15.84 μB/cell
# - Formation enthalpy at 0 K: 0.336 eV per atom

7.
# CdFeRu2 PBE relaxed
data_CdFeRu2
_symmetry_space_group_name_H-M 'I 4/m m m'
_symmetry_Int_Tables_number 139
_symmetry_space_group_name_Hall '-I 4 2'
_cell_length_a 3.904
_cell_length_b 3.904
_cell_length_c 7.792
_cell_angle_alpha 90.00
_cell_angle_beta 90.00
_cell_angle_gamma 90.00
loop_
_atom_site_label
_atom_site_type_symbol
_atom_site_fract_x
_atom_site_fract_y
_atom_site_fract_z
_atom_site_occupancy
Cd1 Cd 0.000 0.000 0.000 1
Fe1 Fe 0.000 0.000 0.500 1
Ru1 Ru 0.000 0.500 0.250 1
# - Total magnetization: 4.12 μB/cell
# - Formation enthalpy at 0 K: 0.444 eV per atom

8.
# CdFe2Ru PBE relaxed
data_CdFe2Ru
_symmetry_space_group_name_H-M 'I m m m'
_symmetry_Int_Tables_number 71
_symmetry_space_group_name_Hall '-I 2 2'
_cell_length_a 3.214
_cell_length_b 4.363
_cell_length_c 8.428
_cell_angle_alpha 90.00
_cell_angle_beta 90.00
_cell_angle_gamma 90.00
loop_
_atom_site_label
_atom_site_type_symbol
_atom_site_fract_x
_atom_site_fract_y
_atom_site_fract_z
_atom_site_occupancy
Cd1 Cd 0.000 0.000 0.000 1
Fe1 Fe 0.000 0.500 0.236 1
Ru1 Ru 0.000 0.000 0.500 1
# - Total magnetization: 12.71 μB/cell
# - Formation enthalpy at 0 K: 0.371 eV per atom

9.
# Cd2FeRu PBE relaxed
data_Cd2FeRu
_symmetry_space_group_name_H-M 'P 4/m m m'
_symmetry_Int_Tables_number 123
_symmetry_space_group_name_Hall '-P 4 2'
_cell_length_a 3.977
_cell_length_b 3.977
_cell_length_c 4.195
_cell_angle_alpha 90.00
_cell_angle_beta 90.00
_cell_angle_gamma 90.00
loop_
_atom_site_label
_atom_site_type_symbol
_atom_site_fract_x
_atom_site_fract_y
_atom_site_fract_z
_atom_site_occupancy
Cd1 Cd 0.000 0.500 0.000 1
Fe1 Fe 0.000 0.000 0.500 1
Ru1 Ru 0.500 0.500 0.500 1
# - Excess energy over the best structure of this formula in the dataset: 159.3 meV per atom
# - Total magnetization: 3.85 μB/cell
# - Formation enthalpy at 0 K: 0.343 eV per atom

10.
# CdFeRu2 PBE relaxed
data_CdFeRu2
_symmetry_space_group_name_H-M 'P 4/m m m'
_symmetry_Int_Tables_number 123
_symmetry_space_group_name_Hall '-P 4 2'
_cell_length_a 3.961
_cell_length_b 3.961
_cell_length_c 3.814
_cell_angle_alpha 90.00
_cell_angle_beta 90.00
_cell_angle_gamma 90.00
loop_
_atom_site_label
_atom_site_type_symbol
_atom_site_fract_x
_atom_site_fract_y
_atom_site_fract_z
_atom_site_occupancy
Cd1 Cd 0.000 0.000 0.000 1
Fe1 Fe 0.500 0.500 0.000 1
Ru1 Ru 0.000 0.500 0.500 1
# - Total magnetization: 3.92 μB/cell
# - Formation enthalpy at 0 K: 0.462 eV per atom

11.
# CdFe2Ru PBE relaxed
data_CdFe2Ru
_symmetry_space_group_name_H-M 'I 4/m m m'
_symmetry_Int_Tables_number 139
_symmetry_space_group_name_Hall '-I 4 2'
_cell_length_a 3.991
_cell_length_b 3.991
_cell_length_c 7.318
_cell_angle_alpha 90.00
_cell_angle_beta 90.00
_cell_angle_gamma 90.00
loop_
_atom_site_label
_atom_site_type_symbol
_atom_site_fract_x
_atom_site_fract_y
_atom_site_fract_z
_atom_site_occupancy
Cd1 Cd 0.000 0.000 0.000 1
Fe1 Fe 0.000 0.500 0.250 1
Ru1 Ru 0.000 0.000 0.500 1
# - Total magnetization: 13.07 μB/cell
# - Formation enthalpy at 0 K: 0.348 eV per atom

12.
# CdFe2Ru PBE relaxed
data_CdFe2Ru
_symmetry_space_group_name_H-M 'C m m m'
_symmetry_Int_Tables_number 65
_symmetry_space_group_name_Hall '-C 2 2'
_cell_length_a 3.124
_cell_length_b 4.386
_cell_length_c 8.663
_cell_angle_alpha 90.00
_cell_angle_beta 90.00
_cell_angle_gamma 90.00
loop_
_atom_site_label
_atom_site_type_symbol
_atom_site_fract_x
_atom_site_fract_y
_atom_site_fract_z
_atom_site_occupancy
Cd1 Cd 0.000 0.000 0.000 1
Fe1 Fe 0.000 0.500 0.270 1
Ru1 Ru 0.000 0.000 0.500 1
# - Total magnetization: 12.58 μB/cell
# - Formation enthalpy at 0 K: 0.361 eV per atom

13.
# CdFe2Ru PBE relaxed
data_CdFe2Ru
_symmetry_space_group_name_H-M 'P 4/m m m'
_symmetry_Int_Tables_number 123
_symmetry_space_group_name_Hall '-P 4 2'
_cell_length_a 2.720
_cell_length_b 2.720
_cell_length_c 7.694
_cell_angle_alpha 90.00
_cell_angle_beta 90.00
_cell_angle_gamma 90.00
loop_
_atom_site_label
_atom_site_type_symbol
_atom_site_fract_x
_atom_site_fract_y
_atom_site_fract_z
_atom_site_occupancy
Cd1 Cd 0.000 0.000 0.000 1
Fe1 Fe 0.500 0.500 0.275 1
Ru1 Ru 0.000 0.000 0.500 1
# - Total magnetization: 3.99 μB/cell
# - Formation enthalpy at 0 K: 0.275 eV per atom

14.
# CdFe2Ru PBE relaxed
data_CdFe2Ru
_symmetry_space_group_name_H-M 'P 1 m 1'
_symmetry_Int_Tables_number 6
_symmetry_space_group_name_Hall 'P -2y'
_cell_length_a 2.691
_cell_length_b 4.085
_cell_length_c 5.465
_cell_angle_alpha 90.00
_cell_angle_beta 102.05
_cell_angle_gamma 90.00
loop_
_atom_site_label
_atom_site_type_symbol
_atom_site_fract_x
_atom_site_fract_y
_atom_site_fract_z
_atom_site_occupancy
Cd1 Cd 0.000 0.000 0.000 1
Fe1 Fe 0.543 0.500 0.273 1
Fe2 Fe 0.953 0.000 0.492 1
Ru1 Ru 0.413 0.500 0.709 1
# - Total magnetization: 6.20 μB/cell
# - Formation enthalpy at 0 K: 0.329 eV per atom

15.
# CdFeRu2 PBE relaxed
data_CdFeRu2
_symmetry_space_group_name_H-M 'I -4 2 d'
_symmetry_Int_Tables_number 122
_symmetry_space_group_name_Hall 'I -4 2bw'
_cell_length_a 7.091
_cell_length_b 7.091
_cell_length_c 5.150
_cell_angle_alpha 90.00
_cell_angle_beta 90.00
_cell_angle_gamma 90.00
loop_
_atom_site_label
_atom_site_type_symbol
_atom_site_fract_x
_atom_site_fract_y
_atom_site_fract_z
_atom_site_occupancy
Cd1 Cd 0.000 0.000 0.000 1
Fe1 Fe 0.000 0.000 0.500 1
Ru1 Ru 0.192 0.250 0.625 1
# - Total magnetization: 8.03 μB/cell
# - Formation enthalpy at 0 K: 0.698 eV per atom